VASP calculation (PBE) on a relaxed structure of ErThCoPt.

Results
energy relative to the lowest polymorph listed for this composition = 0 meV per atom
energy = -28.32 eV per cell
total magnetization = 0.00 μB per formula unit
ΔE_f = -0.7988 eV/atom

Lattice parameters (Å, degrees): 3.7846 4.0424 5.9244 90.00 108.63 90.00
Closest atoms and distances in Å follow each position.
Fractional positions:
Pt 0.5846 0.5000 0.1691  4 Er 2.85, 2 Co 2.87, 3 Th 3.10-3.16
Th 0.8660 0.5000 0.7320  4 Co 2.80, 2 Pt 3.10
Er 0.1461 0.0000 0.2923  4 Pt 2.85, 1 Co 2.89
Co 0.4033 0.0000 0.8066  4 Th 2.80, 2 Pt 2.87, 1 Er 2.89